[1]
Here is a geometry-optimized SmCuW2O8 structure from the Alexandria database. Energies are from PBE with a Hubbard U.

The value obtained for the calculated total energy is -7.36 eV per atom.

The structure belongs to space group P-1 (No. 2); the cell edges are 5.145, 6.091 and 6.252 Å and the angles 108.48°, 92.13° and 112.92°. The inequivalent atoms are Sm at (0.000, 0.000, 0.000), Cu at (0.500, 0.000, 0.500), W at (0.249, 0.486, 0.662), O at (0.022, 0.255, 0.778), O at (0.025, 0.689, 0.666), O at (0.469, 0.300, 0.527) and O at (0.495, 0.266, 0.083).

***

[2]
Here is a geometry-optimized SmCuW2O8 structure from the Alexandria database. Energies are from PBE with a Hubbard U.

The value obtained for the calculated total energy is -7.36 eV per atom.

The structure belongs to space group P-1 (No. 2); the cell edges are 7.264, 7.541 and 7.679 Å and the angles 61.53°, 65.07° and 66.56°. The inequivalent atoms are Sm at (0.244, 0.280, 0.298), Cu at (0.314, 0.428, 0.712), W at (0.136, 0.855, 0.847), W at (0.278, 0.765, 0.240), O at (0.045, 0.698, 0.792), O at (0.052, 0.127, 0.640), O at (0.172, 0.640, 0.112), O at (0.175, 0.012, 0.995), O at (0.246, 0.510, 0.466), O at (0.310, 0.938, 0.320), O at (0.411, 0.818, 0.704) and O at (0.447, 0.312, 0.924).

***

[3]
Here is a geometry-optimized SmCuW2O8 structure from the Alexandria database. Energies are from PBE with a Hubbard U.

The value obtained for the calculated total energy is -7.36 eV per atom.

The structure belongs to space group P-1 (No. 2); the cell edges are 7.273, 7.456 and 7.562 Å and the angles 114.37°, 115.54° and 91.90°. The inequivalent atoms are Sm at (0.183, 0.285, 0.460), Cu at (0.223, 0.670, 0.957), W at (0.272, 0.296, 0.038), W at (0.352, 0.896, 0.706), O at (0.054, 0.310, 0.103), O at (0.141, 0.990, 0.800), O at (0.174, 0.638, 0.548), O at (0.195, 0.360, 0.808), O at (0.289, 0.995, 0.514), O at (0.387, 0.171, 0.263), O at (0.467, 0.535, 0.267) and O at (0.478, 0.826, 0.005).